Sm5Er3Mg: optimized geometry, GGA-PBE.

Summary:
- energy relative to the elements (eV/atom) = 0.563
- raw total energy (eV per atom) = -3.757
- crystal system = monoclinic

The structure in POSCAR format:
```
Sm5Er3Mg
1.0
-1.539 -9.666 1.689
7.845 -5.018 -3.455
5.412 -4.727 5.601
Sm Er Mg
10 6 2
direct
0.931 0.404 0.355 Sm
0.257 0.743 0.000 Sm
0.813 0.813 0.940 Sm
0.549 0.549 0.247 Sm
0.451 0.451 0.753 Sm
0.187 0.187 0.060 Sm
0.404 0.931 0.355 Sm
0.743 0.257 0.000 Sm
0.069 0.596 0.645 Sm
0.596 0.069 0.645 Sm
0.643 0.643 0.803 Er
0.702 0.702 0.374 Er
0.000 0.000 0.000 Er
0.000 0.000 0.500 Er
0.357 0.357 0.197 Er
0.298 0.298 0.626 Er
0.133 0.133 0.595 Mg
0.867 0.867 0.405 Mg
```